Entry 1:
Material: NbCdIN2
Method: DFT, PBE
State: relaxed

Geometry as POSCAR:
```
NbCdIN2
1.0
-3.766 -1.589 -0.882
1.710 -2.409 -2.960
0.833 -4.089 3.810
N Nb Cd I
2 1 1 1
Direct
0.500 0.000 0.000
0.000 0.500 0.000
0.500 0.500 0.500
0.000 0.000 0.000
0.000 0.000 0.500
```

Summary:
- Mass density: 6.05 g/cm³
- Uncorrected energy: -18.5 eV/cell
- Polymorph energy (0 for the lowest one): 8.60 eV/f.u.
- Space-group type: P4/mmm (123)
- E_form (uncorrected): 2144 meV/atom

=====

Entry 2:
Material: NbCdI2N
Method: DFT, PBE
State: relaxed

Geometry as POSCAR:
```
NbCdI2N
1.0
-3.668 -2.220 4.105
3.385 -4.859 0.397
2.177 1.753 2.894
N I Nb Cd
1 2 1 1
Direct
0.000 0.000 0.500
0.000 0.500 0.000
0.500 0.000 0.000
0.500 0.500 0.500
0.000 0.000 0.000
```

Summary:
- Mass density: 5.54 g/cm³
- Uncorrected energy: -15.6 eV/cell
- Polymorph energy (0 for the lowest one): 6.59 eV/f.u.
- Space-group type: P4/mmm (123)
- E_form (uncorrected): 1356 meV/atom

=====

Entry 3:
Material: NbCdIN2
Method: DFT, PBE
State: relaxed

Geometry as POSCAR:
```
NbCdIN2
1.0
-2.317 1.544 3.049
-2.683 -3.103 -0.468
3.032 -3.214 3.931
N Cd Nb I
2 1 1 1
Direct
0.500 0.000 0.000
0.000 0.500 0.000
0.500 0.500 0.500
0.000 0.000 0.000
0.000 0.000 0.500
```

Summary:
- Mass density: 5.93 g/cm³
- Uncorrected energy: -27.1 eV/cell
- Polymorph energy (0 for the lowest one): 0.00 eV/f.u.
- Space-group type: P4/mmm (123)
- E_form (uncorrected): 424 meV/atom

=====

Entry 4:
Material: CdNiI2N
Method: DFT, PBE
State: relaxed

Geometry as POSCAR:
```
CdNiI2N
1.0
5.644 0.000 0.000
0.000 5.644 0.000
0.000 0.000 3.573
I Ni Cd N
2 1 1 1
Direct
0.500 0.000 0.000
0.000 0.500 0.000
0.000 0.000 0.000
0.500 0.500 0.500
0.000 0.000 0.500
```

Summary:
- Mass density: 6.40 g/cm³
- Uncorrected energy: -15.8 eV/cell
- Polymorph energy (0 for the lowest one): 0.00 eV/f.u.
- Space-group type: P4/mmm (123)
- E_form (uncorrected): 467 meV/atom

=====

Which of these has the lowest E_form (uncorrected)?
number 3